NiAsI2O | PBE+U | optimized geometry

It has space group P4/mmm (No. 123), with a = 5.541 Å, b = 5.541 Å, c = 3.613 Å, α = 90.00°, β = 90.00° and γ = 90.00°. Symmetry generates all atoms from Ni at (0.000, 0.000, 0.000), As at (0.500, 0.500, 0.500), I at (0.000, 0.500, 0.000) and O at (0.000, 0.000, 0.500).

The final energy comes out at -2.7225 eV/atom. The magnetic moment is 2.1 Bohr magnetons per cell. The calculation puts the energy relative to the lowest polymorph listed for this composition at 0.1958 eV/atom.